# 1
A plane-wave DFT calculation with GGA-PBE was carried out for a geometry-optimized SmEr2Ag2 structure.

Unit cell a=6.9673 b=6.9085 c=6.4841 alpha=90.00 beta=117.13 gamma=90.00
Sites, in units of the cell vectors:
Sm 0.0000 0.0000 0.0000
Sm 0.5000 0.5000 0.0000
Er 0.0000 0.2502 0.5000
Er 0.0000 0.7498 0.5000
Er 0.5000 0.2498 0.5000
Er 0.5000 0.7502 0.5000
Ag 0.1380 0.5000 0.2224
Ag 0.3620 0.0000 0.7776
Ag 0.6380 0.0000 0.2224
Ag 0.8620 0.5000 0.7776



# 2
A plane-wave DFT calculation with GGA-PBE was carried out for a geometry-optimized BaLiCa2In structure.

Unit cell a=5.7454 b=5.7454 c=5.2891 alpha=90.00 beta=90.00 gamma=90.00
Sites, in units of the cell vectors:
Ba 0.0000 0.0000 0.0000
Li 0.5000 0.5000 0.5000
Ca 0.0000 0.5000 0.5000
Ca 0.5000 0.0000 0.5000
In 0.5000 0.5000 0.0000



# 3
A plane-wave DFT calculation with GGA-PBE was carried out for a geometry-optimized YC structure.

Unit cell a=3.1090 b=3.1090 c=3.1090 alpha=90.00 beta=90.00 gamma=90.00
Sites, in units of the cell vectors:
Y 0.0000 0.0000 0.0000
C 0.5000 0.5000 0.5000



# 4
A plane-wave DFT calculation with GGA-PBE was carried out for a geometry-optimized Li2NpCu2Te4 structure.

Unit cell a=8.0270 b=8.0270 c=8.4929 alpha=118.73 beta=118.73 gamma=29.94
Sites, in units of the cell vectors:
Li 0.1231 0.1231 0.2161
Li 0.8769 0.8769 0.7839
Np 0.0000 0.0000 0.5000
Cu 0.3165 0.3165 0.5104
Cu 0.6835 0.6835 0.4896
Te 0.2271 0.2271 0.7149
Te 0.4941 0.4941 0.2298
Te 0.5059 0.5059 0.7702
Te 0.7729 0.7729 0.2851

ΔE_f (raw) (eV/atom): -0.557



# 5
A plane-wave DFT calculation with GGA-PBE was carried out for a geometry-optimized Na2Al5Zn4 structure.

Unit cell a=6.6548 b=6.6548 c=6.6548 alpha=130.89 beta=103.18 gamma=96.74
Sites, in units of the cell vectors:
Na 0.1883 0.1883 0.0000
Na 0.8117 0.8117 0.0000
Al 0.0000 0.5000 0.5000
Al 0.3245 0.2534 0.5779
Al 0.3245 0.7466 0.0711
Al 0.6755 0.2534 0.9289
Al 0.6755 0.7466 0.4221
Zn 0.0763 0.7429 0.3334
Zn 0.4095 0.7429 0.6666
Zn 0.5905 0.2571 0.3334
Zn 0.9237 0.2571 0.6666



# 6
A plane-wave DFT calculation with GGA-PBE was carried out for a geometry-optimized NaBeS2N structure.

Unit cell a=4.9523 b=4.9523 c=4.2089 alpha=90.00 beta=90.00 gamma=90.00
Sites, in units of the cell vectors:
Na 0.0000 0.0000 0.0000
Be 0.5000 0.5000 0.5000
S 0.0000 0.5000 0.0000
S 0.5000 0.0000 0.0000
N 0.0000 0.0000 0.5000

ΔE_f (raw) (eV/atom): 1.754



# 7
A plane-wave DFT calculation with GGA-PBE was carried out for a geometry-optimized KZrNi2Ag structure.

Unit cell a=4.6908 b=4.6908 c=5.9776 alpha=90.00 beta=90.00 gamma=90.00
Sites, in units of the cell vectors:
K 0.0000 0.0000 0.0000
Zr 0.0000 0.0000 0.5000
Ni 0.0000 0.5000 0.5000
Ni 0.5000 0.0000 0.5000
Ag 0.5000 0.5000 0.0000



# 8
A plane-wave DFT calculation with GGA-PBE was carried out for a geometry-optimized Re2Os structure.

Unit cell a=2.7522 b=2.7522 c=6.7608 alpha=90.00 beta=90.00 gamma=120.00
Sites, in units of the cell vectors:
Re 0.3333 0.6667 0.3312
Re 0.6667 0.3333 0.6688
Os 0.0000 0.0000 0.0000



# 9
A plane-wave DFT calculation with GGA-PBE was carried out for a geometry-optimized La4Pr3Se8 structure.

Unit cell a=8.5650 b=8.5650 c=8.5367 alpha=119.88 beta=119.88 gamma=90.01
Sites, in units of the cell vectors:
La 0.0000 0.0000 0.0000
La 0.0000 0.5000 0.0000
La 0.5000 0.0000 0.0000
La 0.5000 0.5000 0.5000
Pr 0.0000 0.5000 0.5000
Pr 0.5000 0.0000 0.5000
Pr 0.5000 0.5000 0.0000
Se 0.2483 0.2483 0.5011
Se 0.2481 0.7519 0.5000
Se 0.2492 0.2492 0.9970
Se 0.2504 0.7496 0.0000
Se 0.7496 0.2504 0.0000
Se 0.7508 0.7508 0.0030
Se 0.7519 0.2481 0.5000
Se 0.7517 0.7517 0.4989

ΔE_f (raw) (eV/atom): -1.948



# 10
A plane-wave DFT calculation with GGA-PBE was carried out for a geometry-optimized InPbBr4 structure.

Unit cell a=6.4908 b=6.4908 c=6.4908 alpha=60.00 beta=60.00 gamma=60.00
Sites, in units of the cell vectors:
In 0.0000 0.0000 0.0000
Pb 0.7500 0.7500 0.7500
Br 0.3749 0.3749 0.3749
Br 0.3749 0.3749 0.8752
Br 0.3749 0.8752 0.3749
Br 0.8752 0.3749 0.3749

ΔE_f (raw) (eV/atom): 0.120



# 11
A plane-wave DFT calculation with GGA-PBE was carried out for a geometry-optimized BOsCl2 structure.

Unit cell a=2.8796 b=2.8796 c=30.7149 alpha=90.00 beta=90.00 gamma=120.00
Sites, in units of the cell vectors:
B 0.0000 0.0000 0.0000
B 0.3333 0.6667 0.6667
B 0.6667 0.3333 0.3333
Os 0.0000 0.0000 0.5000
Os 0.3333 0.6667 0.1667
Os 0.6667 0.3333 0.8333
Cl 0.0000 0.0000 0.0541
Cl 0.0000 0.0000 0.9459
Cl 0.3333 0.6667 0.6126
Cl 0.3333 0.6667 0.7208
Cl 0.6667 0.3333 0.2792
Cl 0.6667 0.3333 0.3874

ΔE_f (raw) (eV/atom): 1.151



no.,E_tot (Ry/atom),total moment (Bohr magnetons per cell)
1,-0.292,0.00
2,-0.161,0.00
3,-0.535,0.00
4,-0.347,3.13
5,-0.174,0.00
6,-0.189,3.60
7,-0.264,0.00
8,-0.880,0.00
9,-0.447,0.00
10,-0.152,0.98
11,-0.312,2.90